No. 1
K2RbTlIn: optimized geometry, PBE.

Structure (POSCAR):
```
K2RbTlIn
1.0
6.975 0.000 0.000
0.000 6.975 0.000
0.000 0.000 5.759
Rb Tl In K
1 1 1 2
direct
0.500 0.500 0.500 Rb
0.000 0.000 0.500 Tl
0.000 0.000 0.000 In
0.000 0.500 0.000 K
0.500 0.000 0.000 K
```

As for the total magnetic moment: 0.00 μB per formula unit. The value obtained for the energy relative to the elements is 56 meV/atom. The symmetry is P4/mmm, No. 123. The value obtained for the energy above the lowest structure with this stoichiometry is 0.25 kJ/mol of atoms. For the calculated volume, the calculation gives 56.039 Å³ per atom.


No. 2
Ca2NdTm: optimized geometry, PBE.

Structure (POSCAR):
```
Ca2NdTm
1.0
3.588 0.000 0.000
1.794 3.107 0.000
1.794 1.036 13.127
Nd Tm Ca
1 1 2
direct
0.500 0.500 0.500 Nd
0.000 0.000 0.000 Tm
0.086 0.086 0.741 Ca
0.914 0.914 0.259 Ca
```

As for the total magnetic moment: 0.55 μB per formula unit. The value obtained for the energy relative to the elements is 250 meV/atom. The symmetry is R-3m, No. 166. The value obtained for the energy above the lowest structure with this stoichiometry is 12.94 kJ/mol of atoms. For the calculated volume, the calculation gives 36.582 Å³ per atom.


No. 3
Y5Ag4Os: optimized geometry, PBE.

Structure (POSCAR):
```
Y5Ag4Os
1.0
-2.526 0.477 2.438
-1.843 -2.691 -1.383
8.709 -11.792 11.330
Y Ag Os
5 4 1
direct
0.500 0.500 0.704 Y
0.500 0.500 0.089 Y
0.500 0.500 0.500 Y
0.500 0.500 0.911 Y
0.500 0.500 0.296 Y
0.000 0.000 0.601 Ag
0.000 0.000 0.196 Ag
0.000 0.000 0.399 Ag
0.000 0.000 0.804 Ag
0.000 0.000 0.000 Os
```

As for the total magnetic moment: 0.00 μB per formula unit. The value obtained for the energy relative to the elements is -300 meV/atom. The symmetry is P4/mmm, No. 123. For the calculated volume, the calculation gives 23.254 Å³ per atom.


No. 4
CaSbAu2: optimized geometry, PBE.

Structure (POSCAR):
```
CaSbAu2
1.0
-4.817 1.407 -0.195
-3.602 -3.159 1.507
-2.524 0.910 4.245
Sb Ca Au
1 1 2
direct
0.750 0.750 0.750 Sb
0.500 0.500 0.500 Ca
0.000 0.000 0.000 Au
0.250 0.250 0.250 Au
```

As for the total magnetic moment: 0.00 μB per formula unit. The symmetry is F-43m, No. 216. For the calculated volume, the calculation gives 22.395 Å³ per atom. As for the raw formation energy: -38.2 kJ/mol of atoms.


No. 5
SrCaRh3: optimized geometry, PBE.

Structure (POSCAR):
```
SrCaRh3
1.0
-2.818 1.386 3.801
3.485 -1.522 3.138
2.056 4.480 -0.110
Sr Ca Rh
1 1 3
direct
0.500 0.500 0.500 Sr
0.000 0.000 0.000 Ca
0.000 0.500 0.000 Rh
0.000 0.000 0.500 Rh
0.500 0.000 0.000 Rh
```

As for the total magnetic moment: 1.04 μB per formula unit. The value obtained for the energy relative to the elements is 729 meV/atom. The symmetry is Pm-3m, No. 221. The value obtained for the energy above the lowest structure with this stoichiometry is 0.00 kJ/mol of atoms. For the calculated volume, the calculation gives 23.969 Å³ per atom.


No. 6
Ac5SmY: optimized geometry, PBE.

Structure (POSCAR):
```
Ac5SmY
1.0
-7.606 -1.598 0.054
5.165 -2.829 -5.076
-1.759 -10.284 7.394
Y Ac Sm
2 10 2
direct
0.099 0.250 0.802 Y
0.901 0.750 0.198 Y
0.764 0.483 0.445 Ac
0.791 0.017 0.445 Ac
0.209 0.983 0.555 Ac
0.787 0.751 0.942 Ac
0.271 0.749 0.942 Ac
0.729 0.251 0.058 Ac
0.374 0.750 0.251 Ac
0.236 0.517 0.555 Ac
0.626 0.250 0.749 Ac
0.213 0.249 0.058 Ac
0.651 0.750 0.698 Sm
0.349 0.250 0.302 Sm
```

As for the total magnetic moment: 0.00 μB per formula unit. The value obtained for the energy relative to the elements is 156 meV/atom. The symmetry is C2/c, No. 15. For the calculated volume, the calculation gives 42.838 Å³ per atom.


No. 7
Li2ReCl6: optimized geometry, PBE.

Structure (POSCAR):
```
Li2ReCl6
1.0
-1.612 2.973 4.963
4.956 -1.948 2.777
5.516 8.947 -3.567
Cl Li Re
12 4 2
direct
0.691 0.691 0.343 Cl
0.191 0.809 0.157 Cl
0.309 0.309 0.343 Cl
0.219 0.781 0.500 Cl
0.809 0.191 0.157 Cl
0.281 0.281 0.000 Cl
0.809 0.191 0.843 Cl
0.691 0.691 0.657 Cl
0.781 0.219 0.500 Cl
0.719 0.719 0.000 Cl
0.309 0.309 0.657 Cl
0.191 0.809 0.843 Cl
0.500 0.500 0.832 Li
0.000 0.000 0.332 Li
0.500 0.500 0.168 Li
0.000 0.000 0.668 Li
0.000 0.000 0.000 Re
0.500 0.500 0.500 Re
```

As for the total magnetic moment: 3.00 μB per formula unit. The symmetry is P4_2/mnm, No. 136. The value obtained for the energy above the lowest structure with this stoichiometry is 2.78 kJ/mol of atoms. For the calculated volume, the calculation gives 22.241 Å³ per atom. As for the raw formation energy: -107.1 kJ/mol of atoms.


No. 8
KRb2: optimized geometry, PBE.

Structure (POSCAR):
```
KRb2
1.0
4.855 0.000 0.000
0.000 8.079 0.000
-2.428 0.000 12.902
Rb K
4 2
direct
0.277 0.250 0.555 Rb
0.946 0.250 0.891 Rb
0.723 0.750 0.445 Rb
0.054 0.750 0.109 Rb
0.612 0.250 0.225 K
0.388 0.750 0.775 K
```

As for the total magnetic moment: 0.00 μB per formula unit. The value obtained for the energy relative to the elements is 6 meV/atom. The symmetry is Cmcm, No. 63. The value obtained for the energy above the lowest structure with this stoichiometry is 0.16 kJ/mol of atoms. For the calculated volume, the calculation gives 84.346 Å³ per atom.


No. 9
Er8Bi3: optimized geometry, PBE.

Structure (POSCAR):
```
Er8Bi3
1.0
7.171 -0.046 -0.045
0.136 7.170 -0.045
0.136 0.132 7.169
Er Bi
8 3
direct
0.104 0.692 0.868 Er
0.345 0.345 0.345 Er
0.896 0.308 0.132 Er
0.308 0.132 0.896 Er
0.132 0.896 0.308 Er
0.655 0.655 0.655 Er
0.692 0.868 0.104 Er
0.868 0.104 0.692 Er
0.000 0.500 0.500 Bi
0.500 0.000 0.500 Bi
0.500 0.500 0.000 Bi
```

As for the total magnetic moment: 0.00 μB per formula unit. The value obtained for the energy relative to the elements is -97 meV/atom. The symmetry is R-3, No. 148. For the calculated volume, the calculation gives 33.523 Å³ per atom.


No. 10
Ti3Rh: optimized geometry, PBE.

Structure (POSCAR):
```
Ti3Rh
1.0
2.933 0.000 0.000
0.000 2.817 0.000
0.000 0.000 8.307
Ti Rh
3 1
direct
0.500 0.000 0.717 Ti
0.000 0.500 0.476 Ti
0.500 0.500 0.168 Ti
0.000 0.000 0.973 Rh
```

As for the total magnetic moment: 0.00 μB per formula unit. The value obtained for the energy relative to the elements is -106 meV/atom. The symmetry is Pmm2, No. 25. For the calculated volume, the calculation gives 17.156 Å³ per atom.


No. 11
DyAg3Sn3: optimized geometry, PBE.

Structure (POSCAR):
```
DyAg3Sn3
1.0
7.531 0.000 0.000
0.000 7.531 0.000
0.000 0.000 7.531
Ag Sn Dy
6 6 2
direct
0.000 0.750 0.500 Ag
0.000 0.250 0.500 Ag
0.250 0.500 0.000 Ag
0.500 0.000 0.750 Ag
0.750 0.500 0.000 Ag
0.500 0.000 0.250 Ag
0.500 0.250 0.000 Sn
0.000 0.500 0.750 Sn
0.000 0.500 0.250 Sn
0.500 0.750 0.000 Sn
0.750 0.000 0.500 Sn
0.250 0.000 0.500 Sn
0.500 0.500 0.500 Dy
0.000 0.000 0.000 Dy
```

As for the total magnetic moment: 0.00 μB per formula unit. The value obtained for the energy relative to the elements is 411 meV/atom. The symmetry is Pm-3n, No. 223. For the calculated volume, the calculation gives 30.513 Å³ per atom.


No. 12
Mn2AlCr: optimized geometry, PBE.

Structure (POSCAR):
```
Mn2AlCr
1.0
2.517 0.045 0.000
-0.792 2.389 0.000
0.000 0.000 7.914
Mn Al Cr
2 1 1
direct
0.000 0.000 0.004 Mn
0.500 0.500 0.240 Mn
0.000 0.000 0.496 Al
0.500 0.500 0.760 Cr
```

As for the total magnetic moment: 2.00 μB per formula unit. The value obtained for the energy relative to the elements is 61 meV/atom. The symmetry is Cmm2, No. 35. For the calculated volume, the calculation gives 11.969 Å³ per atom.


- Which formula does entry 2 have?
  Ca2NdTm


- The highest total magnetic moment belongs to which entry?
  Li2ReCl6


- Look up the calculated volume of the seventh one.
  22.241 Å³ per atom